(1)
LaY3F | PBE-GGA | relaxed

Results
D(E_F)   4.60 states/eV per cell
Calculated total energy   -6.140 eV/atom
Offset from the most stable computed form   0 meV/atom
Energy relative to the elements, uncorrected   -0.90 eV/atom

Lattice parameters (Å, degrees): 5.137 5.137 5.137 90.00 90.00 90.00
Sites, in units of the cell vectors:
La  0.000  0.000  0.000
Y  0.000  0.500  0.500
Y  0.500  0.000  0.500
Y  0.500  0.500  0.000
F  0.500  0.500  0.500

=====

(2)
PmGa2P | PBE-GGA | relaxed

Results
D(E_F)   1.13 states/eV per cell
Calculated total energy   -4.375 eV/atom
Energy relative to the elements   -31.0 kJ per mole of atoms
Offset from the most stable computed form   230 meV/atom

Lattice parameters (Å, degrees): 5.679 5.679 5.679 45.42 45.42 45.42
Sites, in units of the cell vectors:
Pm  0.000  0.000  0.000
Ga  0.215  0.215  0.215
Ga  0.785  0.785  0.785
P  0.500  0.500  0.500

=====

(3)
LaCdIr | PBE-GGA | relaxed

Results
D(E_F)   1.28 states/eV per cell
Calculated total energy   -5.215 eV/atom
Energy relative to the elements   -30.3 kJ per mole of atoms

Lattice parameters (Å, degrees): 4.678 4.678 3.867 90.00 90.00 120.00
Sites, in units of the cell vectors:
La  0.000  0.000  0.000
Cd  0.333  0.667  0.500
Ir  0.667  0.333  0.500

=====

(4)
Al2Si2Au | PBE-GGA | relaxed

Results
D(E_F)   4.06 states/eV per cell
Calculated total energy   -4.121 eV/atom
Offset from the most stable computed form   112 meV/atom
Energy relative to the elements, uncorrected   0.20 eV/atom

Lattice parameters (Å, degrees): 7.150 7.150 3.278 90.00 90.00 90.00
Sites, in units of the cell vectors:
Al  0.178  0.322  0.000
Al  0.322  0.822  0.000
Al  0.678  0.178  0.000
Al  0.822  0.678  0.000
Si  0.121  0.621  0.500
Si  0.379  0.121  0.500
Si  0.621  0.879  0.500
Si  0.879  0.379  0.500
Au  0.000  0.000  0.500
Au  0.500  0.500  0.500

=====

(5)
PmPr3Dy3S8 | PBE-GGA | relaxed

Results
D(E_F)   6.84 states/eV per cell
Calculated total energy   -6.436 eV/atom
Energy relative to the elements, uncorrected   -2.04 eV/atom

Lattice parameters (Å, degrees): 8.045 8.045 8.045 59.31 59.31 59.31
Sites, in units of the cell vectors:
Pm  0.000  0.000  0.000
Pr  0.000  0.000  0.500
Pr  0.000  0.500  0.000
Pr  0.500  0.000  0.000
Dy  0.000  0.500  0.500
Dy  0.500  0.000  0.500
Dy  0.500  0.500  0.000
S  0.251  0.251  0.737
S  0.251  0.737  0.251
S  0.256  0.256  0.256
S  0.263  0.749  0.749
S  0.737  0.251  0.251
S  0.744  0.744  0.744
S  0.749  0.263  0.749
S  0.749  0.749  0.263

=====

(6)
UAg2Sb2S6 | PBE-GGA | relaxed

Results
D(E_F)   6.65 states/eV per cell
Calculated total energy   -5.020 eV/atom
Energy relative to the elements, uncorrected   -0.47 eV/atom

Lattice parameters (Å, degrees): 7.009 7.009 6.517 96.02 96.02 119.93
Sites, in units of the cell vectors:
U  0.000  0.000  0.000
Ag  0.122  0.878  0.500
Ag  0.878  0.122  0.500
Sb  0.328  0.672  0.000
Sb  0.672  0.328  0.000
S  0.037  0.372  0.227
S  0.271  0.271  0.768
S  0.372  0.037  0.227
S  0.628  0.963  0.773
S  0.729  0.729  0.232
S  0.963  0.628  0.773